1.
{"formula": "AlTl2IrN", "functional": "GGA-PBE", "state": "relaxed", "lattice_angstrom": [[-3.5469, 4.2525, -0.4117], [-2.6052, -2.3008, -1.3217], [-1.7662, -0.9723, 5.1739]], "species": ["Al", "N", "Tl", "Tl", "Ir"], "frac_coords": [[0.5000, 0.5000, 0.5000], [0.0000, 0.0000, 0.0000], [0.0000, 0.0000, 0.5000], [0.5000, 0.0000, 0.0000], [0.0000, 0.5000, 0.0000]], "e_tot_ev_per_atom": -4.59, "sg": "No. 123", "e_form_raw_kcal_per_mol_atoms": 12.43}

=====

2.
{"formula": "ZrTl2Cl", "functional": "GGA-PBE", "state": "relaxed", "lattice_angstrom": [[-9.2227, 2.8924, -5.2777], [-10.4583, 2.7095, -2.1357], [-8.9592, 5.5471, -3.2002]], "species": ["Tl", "Tl", "Cl", "Zr"], "frac_coords": [[0.9923, 0.9923, 0.9923], [0.2383, 0.2383, 0.2383], [0.7743, 0.7743, 0.7743], [0.4951, 0.4951, 0.4951]], "polymorph_energy_mev_per_atom": 0, "e_tot_ev_per_atom": -4.32, "sg": "No. 160", "e_form_raw_kcal_per_mol_atoms": -12.53}

=====

3.
{"formula": "Tb8In2Ge", "functional": "GGA-PBE", "state": "relaxed", "lattice_angstrom": [[-1.9139, -4.6313, 1.0866], [0.7225, -1.8153, -6.4649], [9.2260, -0.1463, 3.5280]], "species": ["Tb", "Tb", "Tb", "Tb", "Tb", "Tb", "Tb", "Tb", "Ge", "In", "In"], "frac_coords": [[0.2129, 0.3089, 0.4258], [0.5904, 0.4570, 0.1808], [0.6515, 0.9830, 0.3029], [0.0184, 0.7723, 0.0367], [0.4096, 0.5430, 0.8192], [0.9816, 0.2277, 0.9633], [0.7871, 0.6911, 0.5742], [0.3485, 0.0170, 0.6971], [0.5000, 0.0000, 0.0000], [0.1823, 0.7499, 0.3645], [0.8177, 0.2501, 0.6355]], "e_tot_ev_per_atom": -4.59, "delta_e_f_mev_per_atom": -302, "sg": "No. 12"}

=====

4.
{"formula": "CuHgSe", "functional": "GGA-PBE", "state": "relaxed", "lattice_angstrom": [[6.9180, -0.0482, 0.0461], [6.1089, 3.2386, 0.2178], [0.8090, 0.0250, 3.2913]], "species": ["Hg", "Se", "Cu"], "frac_coords": [[0.6756, 0.6756, 0.3244], [0.4359, 0.4359, 0.5641], [0.8886, 0.8886, 0.1114]], "polymorph_energy_mev_per_atom": 89, "e_tot_ev_per_atom": -2.59, "sg": "No. 107", "e_form_raw_kcal_per_mol_atoms": 0.96}

=====

5.
{"formula": "La4TbPm2", "functional": "GGA-PBE", "state": "relaxed", "lattice_angstrom": [[-3.5765, -5.5876, 2.1705], [3.6956, -7.8781, -2.9672], [3.3161, -3.4297, 7.8592]], "species": ["Pm", "Pm", "Pm", "Pm", "La", "La", "La", "La", "La", "La", "La", "La", "Tb", "Tb"], "frac_coords": [[0.2827, 0.9673, 0.4673], [0.5000, 0.5000, 0.5000], [0.7173, 0.0327, 0.5327], [0.5000, 0.0000, 0.0000], [0.2252, 0.2436, 0.7436], [0.8519, 0.6452, 0.6510], [0.1481, 0.8490, 0.8548], [0.1481, 0.3548, 0.3490], [0.7876, 0.2436, 0.7436], [0.8519, 0.1510, 0.1452], [0.2124, 0.7564, 0.2564], [0.7748, 0.7564, 0.2564], [0.5000, 0.5000, 0.0000], [0.0000, 0.5000, 0.0000]], "polymorph_energy_mev_per_atom": 178, "e_tot_ev_per_atom": -4.63, "delta_e_f_mev_per_atom": 200, "sg": "No. 74"}

=====

6.
{"formula": "CePuCdOs", "functional": "GGA-PBE", "state": "relaxed", "lattice_angstrom": [[3.2546, 0.0000, 0.0000], [0.0000, 3.2546, 0.0000], [0.0000, 0.0000, 8.8008]], "species": ["Ce", "Pu", "Os", "Cd"], "frac_coords": [[0.5000, 0.5000, 0.7767], [0.5000, 0.5000, 0.3645], [0.0000, 0.0000, 0.5689], [0.0000, 0.0000, 0.0746]], "polymorph_energy_mev_per_atom": 0, "e_tot_ev_per_atom": -8.23, "delta_e_f_mev_per_atom": -123, "sg": "No. 99"}

=====

7.
{"formula": "Co5Ni6Pd", "functional": "GGA-PBE", "state": "relaxed", "lattice_angstrom": [[-0.4073, 1.5831, -3.1177], [-3.3869, -3.1551, -3.1470], [-5.7567, 3.6042, 2.5820]], "species": ["Ni", "Ni", "Ni", "Ni", "Ni", "Ni", "Pd", "Co", "Co", "Co", "Co", "Co"], "frac_coords": [[0.1690, 0.6619, 0.7425], [0.1691, 0.6619, 0.2575], [0.5000, 0.0000, 0.7399], [0.8309, 0.3381, 0.7425], [0.5000, 0.0000, 0.2601], [0.8310, 0.3381, 0.2575], [0.0000, 0.0000, 0.0000], [0.3230, 0.3540, 0.0000], [0.6665, 0.6670, 0.5000], [0.6770, 0.6460, 0.0000], [0.0000, 0.0000, 0.5000], [0.3335, 0.3330, 0.5000]], "e_tot_ev_per_atom": -6.27, "delta_e_f_mev_per_atom": 15, "sg": "No. 65"}

=====

| no. | Fermi-level density of states (states/eV per cell) |
| --- | --- |
| 1 | 3.329 |
| 2 | 2.256 |
| 3 | 11.647 |
| 4 | 2.926 |
| 5 | 19.272 |
| 6 | 9.738 |
| 7 | 12.521 |